Sr3Hg2Pd7 | PBE-GGA | optimized geometry

```
data_Sr3Hg2Pd7
_symmetry_space_group_name_H-M 'R -3 m'
_symmetry_Int_Tables_number 166
_symmetry_space_group_name_Hall '-R 3 2"'
_cell_length_a 5.7153
_cell_length_b 5.7153
_cell_length_c 26.9901
_cell_angle_alpha 90.00
_cell_angle_beta 90.00
_cell_angle_gamma 120.00
loop_
_atom_site_label
_atom_site_fract_x
_atom_site_fract_y
_atom_site_fract_z
Sr1 0.0000 0.0000 0.0000
Sr2 0.0000 0.0000 0.1402
Hg1 0.0000 0.0000 0.3332
Pd1 0.0000 0.0000 0.5000
Pd2 0.0011 0.5005 0.9154
```


Sr2Hg5Pd5 | PBE-GGA | optimized geometry

```
data_Sr2Hg5Pd5
_symmetry_space_group_name_H-M 'P m m m'
_symmetry_Int_Tables_number 47
_symmetry_space_group_name_Hall '-P 2 2'
_cell_length_a 4.5491
_cell_length_b 5.8214
_cell_length_c 10.1027
_cell_angle_alpha 90.00
_cell_angle_beta 90.00
_cell_angle_gamma 90.00
loop_
_atom_site_label
_atom_site_fract_x
_atom_site_fract_y
_atom_site_fract_z
Sr1 0.0000 0.0000 0.0000
Sr2 0.0000 0.5000 0.5000
Hg1 0.0000 0.0000 0.3170
Hg2 0.0000 0.5000 0.1652
Hg3 0.5000 0.0000 0.5000
Pd1 0.5000 0.2547 0.2503
Pd2 0.5000 0.5000 0.0000
```


Sr3Hg9Pd2 | PBE-GGA | optimized geometry

```
data_Sr3Hg9Pd2
_symmetry_space_group_name_H-M 'I m m m'
_symmetry_Int_Tables_number 71
_symmetry_space_group_name_Hall '-I 2 2'
_cell_length_a 4.7561
_cell_length_b 10.8774
_cell_length_c 13.9534
_cell_angle_alpha 90.00
_cell_angle_beta 90.00
_cell_angle_gamma 90.00
loop_
_atom_site_label
_atom_site_fract_x
_atom_site_fract_y
_atom_site_fract_z
Sr1 0.0000 0.0000 0.0000
Sr2 0.0000 0.0000 0.3123
Hg1 0.0000 0.2839 0.1259
Hg2 0.0000 0.3642 0.3416
Hg3 0.0000 0.5000 0.0000
Pd1 0.0000 0.1846 0.5000
```


Sr3Hg2Pd6 | PBE-GGA | optimized geometry

```
data_Sr3Hg2Pd6
_symmetry_space_group_name_H-M 'I m -3 m'
_symmetry_Int_Tables_number 229
_symmetry_space_group_name_Hall '-I 4 2 3'
_cell_length_a 10.0304
_cell_length_b 10.0304
_cell_length_c 10.0304
_cell_angle_alpha 90.00
_cell_angle_beta 90.00
_cell_angle_gamma 90.00
loop_
_atom_site_label
_atom_site_fract_x
_atom_site_fract_y
_atom_site_fract_z
Sr1 0.0000 0.0000 0.3008
Hg1 0.2500 0.2500 0.2500
Pd1 0.0000 0.3353 0.3353
```


SrHg2Pd2 | PBE-GGA | optimized geometry

```
data_SrHg2Pd2
_symmetry_space_group_name_H-M 'I 4/m m m'
_symmetry_Int_Tables_number 139
_symmetry_space_group_name_Hall '-I 4 2'
_cell_length_a 4.4674
_cell_length_b 4.4674
_cell_length_c 12.0372
_cell_angle_alpha 90.00
_cell_angle_beta 90.00
_cell_angle_gamma 90.00
loop_
_atom_site_label
_atom_site_fract_x
_atom_site_fract_y
_atom_site_fract_z
Sr1 0.0000 0.0000 0.0000
Hg1 0.0000 0.5000 0.2500
Pd1 0.0000 0.0000 0.3915
```

Distance to the lowest polymorph of the same formula: 1.9 kJ per mole of atoms


Sr3Hg6Pd5 | PBE-GGA | optimized geometry

```
data_Sr3Hg6Pd5
_symmetry_space_group_name_H-M 'P m m n'
_symmetry_Int_Tables_number 59
_cell_length_a 4.6305
_cell_length_b 13.9391
_cell_length_c 10.1496
_cell_angle_alpha 90.00
_cell_angle_beta 90.00
_cell_angle_gamma 90.00
loop_
_symmetry_equiv_pos_as_xyz
'x,y,z'
'-x,-y,-z'
'-x+1/2,-y+1/2,z'
'x+1/2,y+1/2,-z'
'x+1/2,-y,-z'
'-x+1/2,y,z'
'-x,y+1/2,-z'
'x,-y+1/2,z'
loop_
_atom_site_label
_atom_site_fract_x
_atom_site_fract_y
_atom_site_fract_z
Sr1 0.2500 0.0547 0.2448
Sr2 0.2500 0.7500 0.2646
Hg1 0.2500 0.0669 0.5881
Hg2 0.2500 0.2500 0.0359
Hg3 0.2500 0.2500 0.4126
Hg4 0.2500 0.5995 0.9821
Pd1 0.2500 0.0912 0.8594
Pd2 0.2500 0.6406 0.5442
Pd3 0.2500 0.7500 0.7788
```


SrHg4Pd8 | PBE-GGA | optimized geometry

```
data_SrHg4Pd8
_symmetry_space_group_name_H-M 'I 4/m m m'
_symmetry_Int_Tables_number 139
_symmetry_space_group_name_Hall '-I 4 2'
_cell_length_a 9.2547
_cell_length_b 9.2547
_cell_length_c 5.8405
_cell_angle_alpha 90.00
_cell_angle_beta 90.00
_cell_angle_gamma 90.00
loop_
_atom_site_label
_atom_site_fract_x
_atom_site_fract_y
_atom_site_fract_z
Sr1 0.0000 0.0000 0.0000
Hg1 0.2500 0.2500 0.2500
Pd1 0.0000 0.2226 0.5000
Pd2 0.0000 0.3514 0.0000
```


Sr12HgPd6 | PBE-GGA | optimized geometry

```
data_Sr12HgPd6
_symmetry_space_group_name_H-M 'I m -3'
_symmetry_Int_Tables_number 204
_symmetry_space_group_name_Hall '-I 2 2 3'
_cell_length_a 11.0611
_cell_length_b 11.0611
_cell_length_c 11.0611
_cell_angle_alpha 90.00
_cell_angle_beta 90.00
_cell_angle_gamma 90.00
loop_
_atom_site_label
_atom_site_fract_x
_atom_site_fract_y
_atom_site_fract_z
Sr1 0.0000 0.3114 0.1811
Hg1 0.0000 0.0000 0.0000
Pd1 0.0000 0.1230 0.5000
```


Sr4HgPd2 | PBE-GGA | optimized geometry

```
data_Sr4HgPd2
_symmetry_space_group_name_H-M 'R -3 m'
_symmetry_Int_Tables_number 166
_symmetry_space_group_name_Hall '-R 3 2"'
_cell_length_a 5.0980
_cell_length_b 5.0980
_cell_length_c 31.5508
_cell_angle_alpha 90.00
_cell_angle_beta 90.00
_cell_angle_gamma 120.00
loop_
_atom_site_label
_atom_site_fract_x
_atom_site_fract_y
_atom_site_fract_z
Sr1 0.0000 0.0000 0.1152
Sr2 0.0000 0.0000 0.2968
Hg1 0.0000 0.0000 0.5000
Pd1 0.0000 0.0000 0.4075
```

Distance to the lowest polymorph of the same formula: 5.1 kJ per mole of atoms


Sr3Hg3Pd2 | PBE-GGA | optimized geometry

```
data_Sr3Hg3Pd2
_symmetry_space_group_name_H-M 'C m c m'
_symmetry_Int_Tables_number 63
_symmetry_space_group_name_Hall '-C 2c 2'
_cell_length_a 4.5339
_cell_length_b 11.4837
_cell_length_c 17.0587
_cell_angle_alpha 90.00
_cell_angle_beta 90.00
_cell_angle_gamma 90.00
loop_
_atom_site_label
_atom_site_fract_x
_atom_site_fract_y
_atom_site_fract_z
Sr1 0.0000 0.0733 0.1050
Sr2 0.0000 0.3496 0.2500
Hg1 0.0000 0.3635 0.7500
Hg2 0.0000 0.3639 0.0357
Pd1 0.0000 0.2215 0.6152
```


SrHg3Pd3 | PBE-GGA | optimized geometry

```
data_SrHg3Pd3
_symmetry_space_group_name_H-M 'P 1 21/m 1'
_symmetry_Int_Tables_number 11
_symmetry_space_group_name_Hall '-P 2yb'
_cell_length_a 9.0546
_cell_length_b 4.4771
_cell_length_c 9.0639
_cell_angle_alpha 90.00
_cell_angle_beta 119.96
_cell_angle_gamma 90.00
loop_
_atom_site_label
_atom_site_fract_x
_atom_site_fract_y
_atom_site_fract_z
Sr1 0.1663 0.2500 0.3330
Hg1 0.2269 0.2500 0.7673
Hg2 0.2679 0.7500 0.0411
Hg3 0.4595 0.7500 0.7270
Pd1 0.0530 0.2500 0.9505
Pd2 0.1026 0.7500 0.5524
Pd3 0.4503 0.7500 0.3977
```

Distance to the lowest polymorph of the same formula: 0.0 kJ per mole of atoms


Sr11Hg9Pd4 | PBE-GGA | optimized geometry

```
data_Sr11Hg9Pd4
_symmetry_space_group_name_H-M 'C m m m'
_symmetry_Int_Tables_number 65
_symmetry_space_group_name_Hall '-C 2 2'
_cell_length_a 15.3047
_cell_length_b 22.6864
_cell_length_c 4.1118
_cell_angle_alpha 90.00
_cell_angle_beta 90.00
_cell_angle_gamma 90.00
loop_
_atom_site_label
_atom_site_fract_x
_atom_site_fract_y
_atom_site_fract_z
Sr1 0.0000 0.0000 0.0000
Sr2 0.0000 0.1721 0.0000
Sr3 0.0000 0.3698 0.0000
Sr4 0.2013 0.5000 0.0000
Sr5 0.2424 0.1692 0.0000
Hg1 0.0000 0.5000 0.5000
Hg2 0.1103 0.2680 0.5000
Hg3 0.1424 0.0741 0.5000
Pd1 0.1493 0.4010 0.5000
```


Number 1: formation energy from the elements -553 meV per atom. Number 2: formation energy from the elements -405 meV per atom. Number 3: formation energy from the elements -370 meV per atom. Number 4: formation energy from the elements -534 meV per atom. Number 5: formation energy from the elements -406 meV per atom. Number 6: formation energy from the elements -465 meV per atom. Number 7: formation energy from the elements -198 meV per atom. Number 8: formation energy from the elements -448 meV per atom. Number 9: formation energy from the elements -466 meV per atom. Number 10: formation energy from the elements -574 meV per atom. Number 11: formation energy from the elements -287 meV per atom. Number 12: formation energy from the elements -538 meV per atom.